Density functional theory data (PBE) for an optimized crystal structure of HoThFeRu.

Cell: 4.8848 4.8848 4.8848 Å, 60.00 60.00 60.00°
Last column: nearest neighbours and their distance in Å.
Sites, in units of the cell vectors:
Ru: 0.7500 0.7500 0.7500  4 Ho 2.99, 4 Th 2.99
Ho: 0.0000 0.0000 0.0000  4 Ru 2.99, 4 Fe 2.99
Fe: 0.2500 0.2500 0.2500  4 Th 2.99, 4 Ho 2.99
Th: 0.5000 0.5000 0.5000  4 Ru 2.99, 4 Fe 2.99

- symmetry = No. 216
- formation energy from the elements (eV/atom) = -0.155
- uncorrected energy (eV per atom) = -7.5890

=====

Density functional theory data (PBE) for an optimized crystal structure of YHoFeRu.

Cell: 4.8183 4.8183 4.8183 Å, 60.00 60.00 60.00°
Last column: nearest neighbours and their distance in Å.
Sites, in units of the cell vectors:
Y: 0.5000 0.5000 0.5000  4 Fe 2.95, 4 Ru 2.95
Ho: 0.0000 0.0000 0.0000  4 Fe 2.95, 4 Ru 2.95
Ru: 0.2500 0.2500 0.2500  4 Ho 2.95, 4 Y 2.95
Fe: 0.7500 0.7500 0.7500  4 Y 2.95, 4 Ho 2.95

- symmetry = No. 216
- formation energy from the elements (eV/atom) = -0.052
- uncorrected energy (eV per atom) = -7.2466

=====

Density functional theory data (PBE) for an optimized crystal structure of HoZrFeRu.

Cell: 4.6488 4.6488 4.6488 Å, 60.00 60.00 60.00°
Last column: nearest neighbours and their distance in Å.
Sites, in units of the cell vectors:
Zr: 0.2500 0.2500 0.2500  4 Ru 2.85, 4 Fe 2.85
Ho: 0.7500 0.7500 0.7500  4 Fe 2.85, 4 Ru 2.85
Ru: 0.0000 0.0000 0.0000  4 Zr 2.85, 4 Ho 2.85
Fe: 0.5000 0.5000 0.5000  4 Zr 2.85, 4 Ho 2.85

- symmetry = No. 216
- formation energy from the elements (eV/atom) = -0.233
- uncorrected energy (eV per atom) = -7.9490